(1)
## KOsSeO (PBE-GGA)

Data for a relaxed KOsSeO crystal.

The structure in extended XYZ format:
```
8
Lattice="-1.6597 -0.1361 -3.3855 -0.2544 -3.7542 0.2757 -8.2083 0.8491 3.9900" Properties=species:S:1:pos:R:3 pbc="T T T"
Se -6.7470 -0.3242 2.2696
K -5.4126 -0.6161 -0.4752
O -0.6057 -2.8497 -0.6396
K -4.7099 -2.4252 1.3554
Os -8.5937 -2.1773 1.1472
O -1.3084 -1.0407 -2.4702
Se -3.3754 -2.7171 -1.3894
Os -1.5287 -0.8640 -0.2670
```

Results
Symmetry = P4/nmm (129)


(2)
## KPaPO (PBE-GGA)

Data for a relaxed KPaPO crystal.

The structure in extended XYZ format:
```
8
Lattice="2.8431 -2.8431 0.0000 2.8431 2.8431 0.0000 -0.0002 0.0000 10.1901" Properties=species:S:1:pos:R:3 pbc="T T T"
K 2.8430 -1.4215 5.0950
O 2.8431 -1.4214 0.0000
K 2.8430 1.4215 5.0950
P 4.2645 0.0000 2.6930
Pa 4.2642 0.0000 8.8712
Pa 1.4217 0.0000 1.3189
P 1.4214 0.0000 7.4971
O 2.8431 1.4214 0.0000
```

Results
Symmetry = P4/nmm (129)


| no. | ΔE to the lowest computed polymorph (meV/atom) |
| --- | --- |
| 1 | 959 |
| 2 | 180 |